No. 1
Crystalline PrYSeN at its relaxed geometry. Source: Alexandria, functional PBE.

a b c (Å): 7.0671 7.0671 7.0671
angles (deg): 30.86 30.86 30.86
Fractional positions:
Pr 0.0000 0.0000 0.0000
Y 0.4672 0.4672 0.4672
Se 0.2293 0.2293 0.2293
N 0.7405 0.7405 0.7405

Values from the calculation:
- size of the total moment (μB/f.u.) = 0.0
- VASP energy (eV per atom) = -7.40
- formation energy from raw total energies (eV/f.u.) = -6.56

---

No. 2
Crystalline Ce5Y3Sb8 at its relaxed geometry. Source: Alexandria, functional PBE.

a b c (Å): 8.9188 8.9188 8.9188
angles (deg): 60.00 60.00 60.00
Fractional positions:
Ce 0.0000 0.0000 0.0000
Ce 0.0000 0.5000 0.5000
Ce 0.5000 0.0000 0.5000
Ce 0.5000 0.5000 0.0000
Ce 0.5000 0.5000 0.5000
Y 0.0000 0.0000 0.5000
Y 0.0000 0.5000 0.0000
Y 0.5000 0.0000 0.0000
Sb 0.2459 0.7500 0.7500
Sb 0.2482 0.2482 0.2482
Sb 0.2500 0.2500 0.7541
Sb 0.2500 0.7541 0.2500
Sb 0.7500 0.2459 0.7500
Sb 0.7500 0.7500 0.2459
Sb 0.7518 0.7518 0.7518
Sb 0.7541 0.2500 0.2500

Values from the calculation:
- size of the total moment (μB/f.u.) = 4.0
- VASP energy (eV per atom) = -6.22
- formation energy from raw total energies (eV/f.u.) = -17.42

---

No. 3
Crystalline CaNClF2 at its relaxed geometry. Source: Alexandria, functional PBE.

a b c (Å): 4.2480 4.2480 6.5264
angles (deg): 90.00 90.00 90.00
Fractional positions:
Ca 0.0000 0.0000 0.0000
N 0.0000 0.0000 0.5000
Cl 0.5000 0.5000 0.5000
F 0.0000 0.5000 0.0000
F 0.5000 0.0000 0.0000

Values from the calculation:
- size of the total moment (μB/f.u.) = 2.1
- polymorph energy (0 for the lowest one) (kJ per mole of atoms) = 0.0
- VASP energy (eV per atom) = -4.07
- formation energy from raw total energies (eV/f.u.) = -4.45

---

No. 4
Crystalline Tl2As at its relaxed geometry. Source: Alexandria, functional PBE.

a b c (Å): 6.1327 6.1327 6.1327
angles (deg): 103.24 103.24 122.82
Fractional positions:
Tl 0.1556 0.6556 0.8111
Tl 0.3444 0.1556 0.5000
Tl 0.6556 0.8444 0.5000
Tl 0.8444 0.3444 0.1889
As 0.2500 0.2500 0.0000
As 0.7500 0.7500 0.0000

Values from the calculation:
- size of the total moment (μB/f.u.) = 0.0
- polymorph energy (0 for the lowest one) (kJ per mole of atoms) = 3.3
- formation energy from the elements (meV per atom) = 55
- VASP energy (eV per atom) = -3.07

---

No. 5
Crystalline Mn5Sn3Br16 at its relaxed geometry. Source: Alexandria, functional PBE.

a b c (Å): 8.3342 8.3342 12.7016
angles (deg): 91.00 91.00 58.48
Fractional positions:
Mn 0.0000 0.0000 0.0000
Mn 0.3432 0.8381 0.5090
Mn 0.5139 0.5139 0.2484
Mn 0.8381 0.3432 0.5090
Mn 0.8439 0.8439 0.7356
Sn 0.0078 0.5040 0.0090
Sn 0.3460 0.3460 0.5078
Sn 0.5040 0.0078 0.0090
Br 0.0033 0.0033 0.6198
Br 0.1432 0.6942 0.8672
Br 0.1481 0.1481 0.8827
Br 0.1606 0.1606 0.4001
Br 0.2063 0.6856 0.3764
Br 0.3309 0.8261 0.1220
Br 0.3522 0.3522 0.1519
Br 0.5163 0.9844 0.6268
Br 0.5247 0.5247 0.6269
Br 0.6591 0.6591 0.3790
Br 0.6856 0.2063 0.3764
Br 0.6880 0.6880 0.8641
Br 0.6942 0.1432 0.8672
Br 0.8261 0.3309 0.1220
Br 0.8594 0.8594 0.1313
Br 0.9844 0.5163 0.6268

Values from the calculation:
- size of the total moment (μB/f.u.) = 5.0
- VASP energy (eV per atom) = -4.27
- formation energy from raw total energies (eV/f.u.) = -17.87

---

No. 6
Crystalline BaHfOs2O at its relaxed geometry. Source: Alexandria, functional PBE.

a b c (Å): 5.3123 5.3123 4.1134
angles (deg): 90.00 90.00 90.00
Fractional positions:
Ba 0.0000 0.0000 0.0000
Hf 0.5000 0.5000 0.5000
Os 0.0000 0.5000 0.5000
Os 0.5000 0.0000 0.5000
O 0.5000 0.5000 0.0000

Values from the calculation:
- size of the total moment (μB/f.u.) = 4.0
- polymorph energy (0 for the lowest one) (kJ per mole of atoms) = 0.0
- VASP energy (eV per atom) = -7.35
- formation energy from raw total energies (eV/f.u.) = 2.55

---

No. 7
Crystalline NaBi5O8 at its relaxed geometry. Source: Alexandria, functional PBE.

a b c (Å): 7.1583 7.1583 7.1583
angles (deg): 60.00 60.00 60.00
Fractional positions:
Na 0.0000 0.0000 0.0000
Bi 0.1179 0.6274 0.6274
Bi 0.2500 0.2500 0.2500
Bi 0.6274 0.1179 0.6274
Bi 0.6274 0.6274 0.1179
Bi 0.6274 0.6274 0.6274
O 0.3784 0.3784 0.3784
O 0.3784 0.3784 0.8648
O 0.3784 0.8648 0.3784
O 0.4282 0.8573 0.8573
O 0.8573 0.4282 0.8573
O 0.8573 0.8573 0.4282
O 0.8573 0.8573 0.8573
O 0.8648 0.3784 0.3784

Values from the calculation:
- size of the total moment (μB/f.u.) = 0.0
- polymorph energy (0 for the lowest one) (kJ per mole of atoms) = 4.5
- VASP energy (eV per atom) = -5.51
- formation energy from raw total energies (eV/f.u.) = -16.69

---

No. 8
Crystalline MnTcMo2N at its relaxed geometry. Source: Alexandria, functional PBE.

a b c (Å): 4.1116 4.1116 3.8139
angles (deg): 90.00 90.00 90.00
Fractional positions:
Mn 0.0000 0.0000 0.0000
Tc 0.5000 0.5000 0.0000
Mo 0.0000 0.5000 0.5000
Mo 0.5000 0.0000 0.5000
N 0.0000 0.0000 0.5000

Values from the calculation:
- size of the total moment (μB/f.u.) = 1.2
- VASP energy (eV per atom) = -10.01
- formation energy from raw total energies (eV/f.u.) = -0.51

---

No. 9
Crystalline Tb5PmHg2 at its relaxed geometry. Source: Alexandria, functional PBE.

a b c (Å): 8.2580 8.2580 8.2580
angles (deg): 153.78 103.00 82.99
Fractional positions:
Tb 0.0000 0.0000 0.0000
Tb 0.0849 0.3623 0.7226
Tb 0.3603 0.6377 0.7226
Tb 0.6397 0.3623 0.2774
Tb 0.9151 0.6377 0.2774
Pm 0.5000 0.0000 0.5000
Hg 0.2640 0.2640 0.0000
Hg 0.7360 0.7360 0.0000

Values from the calculation:
- size of the total moment (μB/f.u.) = 0.0
- formation energy from the elements (meV per atom) = -169
- VASP energy (eV per atom) = -3.73